! LaPr2Tl2, optimized geometry, DFT PBE-GGA; values from VASP
&SYSTEM
  ibrav = 0, nat = 10, ntyp = 3
/
ATOMIC_SPECIES
La 138.91 La.upf
Pr 140.91 Pr.upf
Tl 204.38 Tl.upf
CELL_PARAMETERS angstrom
3.9482 0.0000 0.0000
0.0000 5.6172 0.0000
-1.9803 0.0000 14.5331
ATOMIC_POSITIONS angstrom
La -0.0092 1.4043 4.2502
La 1.9771 4.2129 10.2829
Pr -0.0033 4.2129 1.4451
Pr -0.0022 4.2129 6.8664
Pr 1.9701 1.4043 7.6667
Pr 1.9712 1.4043 13.0880
Tl -0.0015 1.4043 10.3354
Tl -0.0061 4.2129 13.1742
Tl 1.9740 1.4043 1.3589
Tl 1.9694 4.2129 4.1977
! DFT formation energy = -30.65 kJ/mol of atoms
! polymorph energy (0 for the lowest one) = 0.00 eV per formula unit
! E = -4.161 eV/atom
! total moment = 0.0 μB/cell
! density of states at the Fermi level = 8.9 states/eV/cell



! La2Pr5Tl4, optimized geometry, DFT PBE-GGA; values from VASP
&SYSTEM
  ibrav = 0, nat = 11, ntyp = 3
/
ATOMIC_SPECIES
La 138.91 La.upf
Pr 140.91 Pr.upf
Tl 204.38 Tl.upf
CELL_PARAMETERS angstrom
8.9240 0.0000 0.0000
0.0000 3.5916 0.0000
-1.0901 0.0000 10.8693
ATOMIC_POSITIONS angstrom
La 0.5751 0.0000 1.4615
La 7.2588 0.0000 9.4079
Pr 0.7260 0.0000 6.9610
Pr 3.9310 0.0000 1.8057
Pr 3.9169 0.0000 5.4347
Pr 3.9028 0.0000 9.0636
Pr 7.1079 0.0000 3.9083
Tl 1.3803 1.7958 4.1507
Tl 1.2424 1.7958 9.9866
Tl 6.5915 1.7958 0.8827
Tl 6.4536 1.7958 6.7186
! DFT formation energy = -21.87 kJ/mol of atoms
! polymorph energy (0 for the lowest one) = 0.00 eV per formula unit
! E = -4.156 eV/atom
! total moment = 0.0 μB/cell
! density of states at the Fermi level = 13.4 states/eV/cell



! La2Pr5Tl, optimized geometry, DFT PBE-GGA; values from VASP
&SYSTEM
  ibrav = 0, nat = 8, ntyp = 3
/
ATOMIC_SPECIES
La 138.91 La.upf
Pr 140.91 Pr.upf
Tl 204.38 Tl.upf
CELL_PARAMETERS angstrom
5.1221 -5.1539 0.0000
5.1221 5.1539 0.0000
-5.1197 0.0000 5.1589
ATOMIC_POSITIONS angstrom
La 5.1221 2.5826 0.0000
La 5.1221 -2.5826 0.0000
Pr 0.0032 0.0000 2.5806
Pr 2.5614 2.5793 2.5808
Pr 2.5667 0.0000 0.0001
Pr 2.5614 -2.5793 2.5808
Pr 7.6782 0.0000 0.0033
Tl 5.1210 0.0000 2.5796
! DFT formation energy = -6.83 kJ/mol of atoms
! polymorph energy (0 for the lowest one) = 0.00 eV per formula unit
! E = -4.586 eV/atom
! total moment = 0.0 μB/cell
! density of states at the Fermi level = 10.2 states/eV/cell



! LaPr4Tl3, optimized geometry, DFT PBE-GGA; values from VASP
&SYSTEM
  ibrav = 0, nat = 8, ntyp = 3
/
ATOMIC_SPECIES
La 138.91 La.upf
Pr 140.91 Pr.upf
Tl 204.38 Tl.upf
CELL_PARAMETERS angstrom
2.7906 1.6112 9.5286
-2.7906 1.6112 9.5286
0.0000 -3.2223 9.5286
ATOMIC_POSITIONS angstrom
La 0.0000 0.0000 0.0000
Pr 0.0000 0.0000 3.8003
Pr 0.0000 0.0000 11.1104
Pr 0.0000 0.0000 17.4754
Pr 0.0000 0.0000 24.7855
Tl 0.0000 0.0000 7.5595
Tl 0.0000 0.0000 14.2929
Tl 0.0000 0.0000 21.0263
! DFT formation energy = -24.69 kJ/mol of atoms
! polymorph energy (0 for the lowest one) = 0.08 eV per formula unit
! E = -4.149 eV/atom
! total moment = 1.9 μB/cell
! density of states at the Fermi level = 11.2 states/eV/cell



! La2Pr3Tl, optimized geometry, DFT PBE-GGA; values from VASP
&SYSTEM
  ibrav = 0, nat = 6, ntyp = 3
/
ATOMIC_SPECIES
La 138.91 La.upf
Pr 140.91 Pr.upf
Tl 204.38 Tl.upf
CELL_PARAMETERS angstrom
2.5236 -7.9761 0.0000
2.5236 7.9761 0.0000
0.0000 0.0000 5.0268
ATOMIC_POSITIONS angstrom
La 2.5236 5.3555 0.0000
La 2.5236 -5.3555 0.0000
Pr 0.0000 0.0000 2.5134
Pr 2.5236 2.5404 2.5134
Pr 2.5236 -2.5404 2.5134
Tl 2.5236 0.0000 0.0000
! DFT formation energy = -10.86 kJ/mol of atoms
! polymorph energy (0 for the lowest one) = 0.00 eV per formula unit
! E = -4.539 eV/atom
! total moment = 0.0 μB/cell
! density of states at the Fermi level = 8.7 states/eV/cell



! LaPr4Tl2, optimized geometry, DFT PBE-GGA; values from VASP
&SYSTEM
  ibrav = 0, nat = 7, ntyp = 3
/
ATOMIC_SPECIES
La 138.91 La.upf
Pr 140.91 Pr.upf
Tl 204.38 Tl.upf
CELL_PARAMETERS angstrom
3.9430 0.0000 0.0000
-1.9707 6.6664 0.0000
-0.0016 -1.2801 8.9844
ATOMIC_POSITIONS angstrom
La 0.0000 0.0000 0.0000
Pr 0.0054 1.1997 3.9712
Pr 0.0111 2.2881 7.9864
Pr 0.0024 4.8292 2.5508
Pr 1.9804 4.1898 5.4953
Tl 1.9794 0.0848 6.3683
Tl 1.9751 2.3159 1.5685
! DFT formation energy = -20.33 kJ/mol of atoms
! polymorph energy (0 for the lowest one) = 0.00 eV per formula unit
! E = -4.322 eV/atom
! total moment = 0.0 μB/cell
! density of states at the Fermi level = 8.3 states/eV/cell



! La3PrTl3, optimized geometry, DFT PBE-GGA; values from VASP
&SYSTEM
  ibrav = 0, nat = 14, ntyp = 3
/
ATOMIC_SPECIES
La 138.91 La.upf
Pr 140.91 Pr.upf
Tl 204.38 Tl.upf
CELL_PARAMETERS angstrom
5.5645 -5.6243 0.0000
5.5645 5.6243 0.0000
0.0000 0.0000 7.5778
ATOMIC_POSITIONS angstrom
La 2.6258 0.0000 3.7889
La 2.6784 0.0000 0.0000
La 5.5645 2.8808 0.0000
La 5.5645 -2.8808 0.0000
La 8.4507 0.0000 0.0000
La 8.5033 0.0000 3.7889
Pr 5.5645 2.8520 3.7889
Pr 5.5645 -2.8520 3.7889
Tl 2.7823 2.8122 1.9189
Tl 2.7823 2.8122 5.6589
Tl 2.7823 -2.8122 1.9189
Tl 2.7823 -2.8122 5.6589
Tl 5.5645 0.0000 1.9186
Tl 5.5645 0.0000 5.6591
! DFT formation energy = -26.38 kJ/mol of atoms
! polymorph energy (0 for the lowest one) = 0.33 eV per formula unit
! E = -4.082 eV/atom
! total moment = 0.1 μB/cell
! density of states at the Fermi level = 17.2 states/eV/cell



! LaPr15Tl4, optimized geometry, DFT PBE-GGA; values from VASP
&SYSTEM
  ibrav = 0, nat = 20, ntyp = 3
/
ATOMIC_SPECIES
La 138.91 La.upf
Pr 140.91 Pr.upf
Tl 204.38 Tl.upf
CELL_PARAMETERS angstrom
5.0332 0.0000 0.0000
0.0000 5.0332 0.0000
0.0000 0.0000 25.8752
ATOMIC_POSITIONS angstrom
La 0.0000 0.0000 0.0000
Pr 0.0000 2.5166 2.7698
Pr 0.0000 2.5166 7.8747
Pr 0.0000 2.5166 12.9376
Pr 0.0000 2.5166 18.0004
Pr 0.0000 2.5166 23.1054
Pr 2.5166 0.0000 2.7698
Pr 2.5166 0.0000 7.8747
Pr 2.5166 0.0000 12.9376
Pr 2.5166 0.0000 18.0004
Pr 2.5166 0.0000 23.1054
Pr 2.5166 2.5166 0.0000
Pr 2.5166 2.5166 5.3520
Pr 2.5166 2.5166 10.3998
Pr 2.5166 2.5166 15.4754
Pr 2.5166 2.5166 20.5232
Tl 0.0000 0.0000 5.3505
Tl 0.0000 0.0000 10.4123
Tl 0.0000 0.0000 15.4629
Tl 0.0000 0.0000 20.5246
! DFT formation energy = -15.19 kJ/mol of atoms
! E = -4.462 eV/atom
! total moment = 0.0 μB/cell
! density of states at the Fermi level = 28.4 states/eV/cell



! La4PrTl, optimized geometry, DFT PBE-GGA; values from VASP
&SYSTEM
  ibrav = 0, nat = 12, ntyp = 3
/
ATOMIC_SPECIES
La 138.91 La.upf
Pr 140.91 Pr.upf
Tl 204.38 Tl.upf
CELL_PARAMETERS angstrom
6.3144 0.0000 0.0000
0.0000 7.1544 0.0000
-0.2183 0.0000 8.9171
ATOMIC_POSITIONS angstrom
La 0.1438 1.7886 0.0978
La 0.8519 3.6296 5.8662
La 0.8519 7.1019 5.8662
La 2.0545 5.3658 2.9077
La 4.0416 1.7886 6.0094
La 5.2441 0.0524 3.0509
La 5.2441 3.5248 3.0509
La 5.9522 5.3658 8.8193
Pr 3.1572 0.0000 0.0000
Pr 3.1572 3.5772 0.0000
Tl 2.1038 1.7886 3.0395
Tl 3.9922 5.3658 5.8776
! DFT formation energy = -12.80 kJ/mol of atoms
! polymorph energy (0 for the lowest one) = 0.00 eV per formula unit
! E = -4.609 eV/atom
! total moment = 0.0 μB/cell
! density of states at the Fermi level = 15.5 states/eV/cell



! LaPr4Tl3, optimized geometry, DFT PBE-GGA; values from VASP
&SYSTEM
  ibrav = 0, nat = 8, ntyp = 3
/
ATOMIC_SPECIES
La 138.91 La.upf
Pr 140.91 Pr.upf
Tl 204.38 Tl.upf
CELL_PARAMETERS angstrom
9.9494 -2.5635 0.0000
9.9494 2.5635 0.0000
-1.2969 0.0000 4.9400
ATOMIC_POSITIONS angstrom
La 0.0000 0.0000 0.0000
Pr 1.8347 0.0000 3.1288
Pr 6.1941 0.0000 4.2911
Pr 12.4077 0.0000 0.6489
Pr 16.7671 0.0000 1.8112
Tl 4.6779 0.0000 1.2422
Tl 9.3009 0.0000 2.4700
Tl 13.9240 0.0000 3.6978
! DFT formation energy = -25.65 kJ/mol of atoms
! polymorph energy (0 for the lowest one) = 0.00 eV per formula unit
! E = -4.159 eV/atom
! total moment = 1.3 μB/cell
! density of states at the Fermi level = 10.3 states/eV/cell



! La3Pr8Tl2, optimized geometry, DFT PBE-GGA; values from VASP
&SYSTEM
  ibrav = 0, nat = 13, ntyp = 3
/
ATOMIC_SPECIES
La 138.91 La.upf
Pr 140.91 Pr.upf
Tl 204.38 Tl.upf
CELL_PARAMETERS angstrom
3.3413 1.9291 12.1314
-3.3413 1.9291 12.1314
0.0000 -3.8582 12.1314
ATOMIC_POSITIONS angstrom
La 0.0000 0.0000 0.0000
La 0.0000 0.0000 6.9373
La 0.0000 0.0000 29.4568
Pr -1.6391 -0.9463 20.2093
Pr 0.0000 -1.8927 16.1848
Pr -1.6391 0.9463 16.1848
Pr 0.0000 0.0000 10.3419
Pr 0.0000 0.0000 26.0522
Pr 1.6391 -0.9463 20.2093
Pr 0.0000 1.8927 20.2093
Pr 1.6391 0.9463 16.1848
Tl 0.0000 0.0000 13.4415
Tl 0.0000 0.0000 22.9526
! DFT formation energy = 9.44 kJ/mol of atoms
! E = -4.345 eV/atom
! total moment = 0.0 μB/cell
! density of states at the Fermi level = 20.7 states/eV/cell



! La5Pr3Tl3, optimized geometry, DFT PBE-GGA; values from VASP
&SYSTEM
  ibrav = 0, nat = 11, ntyp = 3
/
ATOMIC_SPECIES
La 138.91 La.upf
Pr 140.91 Pr.upf
Tl 204.38 Tl.upf
CELL_PARAMETERS angstrom
3.7644 0.0000 0.0000
1.7268 9.6726 0.0000
1.7754 3.6655 10.4124
ATOMIC_POSITIONS angstrom
La 0.0000 0.0000 0.0000
La 1.7690 3.2280 6.3688
La 3.5755 9.2954 6.4657
La 3.5653 8.4173 2.9670
La 5.2336 7.1427 8.9394
Pr 1.7016 6.0727 0.6113
Pr 1.7885 2.6481 1.5609
Pr 3.6582 4.8567 3.6455
Tl 5.3980 11.0443 8.6234
Tl 5.4366 11.0774 4.0770
Tl 5.5244 6.6470 5.6453
! DFT formation energy = -15.54 kJ/mol of atoms
! E = -4.350 eV/atom
! total moment = 0.0 μB/cell
! density of states at the Fermi level = 12.9 states/eV/cell



! LaPr8Tl2, optimized geometry, DFT PBE-GGA; values from VASP
&SYSTEM
  ibrav = 0, nat = 11, ntyp = 3
/
ATOMIC_SPECIES
La 138.91 La.upf
Pr 140.91 Pr.upf
Tl 204.38 Tl.upf
CELL_PARAMETERS angstrom
8.8909 -3.4434 0.0000
8.8909 3.4434 0.0000
-1.4556 0.0000 6.1360
ATOMIC_POSITIONS angstrom
La 0.0000 0.0000 0.0000
Pr 4.4985 1.6416 5.4242
Pr 1.5036 0.0000 3.5535
Pr 11.8277 1.6416 0.7118
Pr 8.4640 0.0000 1.5851
Pr 7.8622 0.0000 4.5509
Pr 4.4985 -1.6416 5.4242
Pr 14.8225 0.0000 2.5825
Pr 11.8277 -1.6416 0.7118
Tl 5.1712 0.0000 2.4231
Tl 11.1550 0.0000 3.7129
! DFT formation energy = -6.20 kJ/mol of atoms
! E = -4.418 eV/atom
! total moment = 0.0 μB/cell
! density of states at the Fermi level = 16.1 states/eV/cell



! La7Pr12Tl, optimized geometry, DFT PBE-GGA; values from VASP
&SYSTEM
  ibrav = 0, nat = 20, ntyp = 3
/
ATOMIC_SPECIES
La 138.91 La.upf
Pr 140.91 Pr.upf
Tl 204.38 Tl.upf
CELL_PARAMETERS angstrom
6.3478 3.6649 5.2561
-6.3478 3.6649 5.2561
0.0000 -7.3298 5.2561
ATOMIC_POSITIONS angstrom
La 0.0000 0.0000 0.0000
La -1.0003 -3.8437 5.7214
La -2.8286 2.7881 5.7214
La -3.8289 -1.0555 10.0469
La 3.8289 1.0555 5.7214
La 2.8286 -2.7881 10.0469
La 1.0003 3.8437 10.0469
Pr -2.1188 0.4408 3.0681
Pr 0.6777 -2.0553 3.0681
Pr -2.8594 -0.8003 6.7158
Pr 1.4411 1.6146 3.0681
Pr -0.7366 -2.8765 9.0525
Pr 2.1228 -2.0761 6.7158
Pr -2.1228 2.0761 9.0525
Pr 0.7365 2.8765 6.7158
Pr -1.4411 -1.6146 12.7001
Pr 2.8594 0.8004 9.0525
Pr -0.6777 2.0553 12.7002
Pr 2.1188 -0.4408 12.7002
Tl 0.0000 0.0000 7.8841
! DFT formation energy = 12.00 kJ/mol of atoms
! E = -4.586 eV/atom
! total moment = 0.0 μB/cell
! density of states at the Fermi level = 35.9 states/eV/cell



! La2Pr9Tl, optimized geometry, DFT PBE-GGA; values from VASP
&SYSTEM
  ibrav = 0, nat = 12, ntyp = 3
/
ATOMIC_SPECIES
La 138.91 La.upf
Pr 140.91 Pr.upf
Tl 204.38 Tl.upf
CELL_PARAMETERS angstrom
5.1394 0.0000 0.0000
0.0000 5.1394 0.0000
0.0000 0.0000 15.8532
ATOMIC_POSITIONS angstrom
La 0.0000 0.0000 2.6883
La 0.0000 0.0000 13.1649
Pr 0.0000 2.5697 0.0000
Pr 0.0000 2.5697 5.3951
Pr 0.0000 2.5697 10.4582
Pr 2.5697 0.0000 0.0000
Pr 2.5697 0.0000 5.3951
Pr 2.5697 0.0000 10.4582
Pr 2.5697 2.5697 2.7150
Pr 2.5697 2.5697 7.9266
Pr 2.5697 2.5697 13.1383
Tl 0.0000 0.0000 7.9266
! DFT formation energy = -4.61 kJ/mol of atoms
! E = -4.651 eV/atom
! total moment = 0.0 μB/cell
! density of states at the Fermi level = 17.4 states/eV/cell



! La12Pr6Tl, optimized geometry, DFT PBE-GGA; values from VASP
&SYSTEM
  ibrav = 0, nat = 19, ntyp = 3
/
ATOMIC_SPECIES
La 138.91 La.upf
Pr 140.91 Pr.upf
Tl 204.38 Tl.upf
CELL_PARAMETERS angstrom
7.7615 4.4811 3.1548
-7.7615 4.4811 3.1548
0.0000 -8.9622 3.1548
ATOMIC_POSITIONS angstrom
La -5.7691 1.5255 3.5692
La -3.9177 -0.9300 4.1076
La -4.2057 -4.2335 5.8952
La 1.5634 -5.7589 3.5692
La -1.1535 -3.8579 5.3567
La -2.7643 2.9279 5.3567
La 2.7643 -2.9279 4.1076
La 1.1535 3.8578 4.1076
La -1.5635 5.7590 5.8952
La 4.2057 4.2335 3.5692
La 3.9177 0.9300 5.3567
La 5.7691 -1.5255 5.8952
Pr -0.5183 -1.9985 2.8728
Pr -1.4717 1.4482 2.8728
Pr 1.9900 0.5504 2.8728
Pr -1.9900 -0.5504 6.5916
Pr 1.4716 -1.4481 6.5916
Pr 0.5183 1.9986 6.5916
Tl 0.0000 0.0000 0.0000
! DFT formation energy = 5.93 kJ/mol of atoms
! E = -4.684 eV/atom
! total moment = 0.0 μB/cell
! density of states at the Fermi level = 28.6 states/eV/cell



! La2Pr4Tl, optimized geometry, DFT PBE-GGA; values from VASP
&SYSTEM
  ibrav = 0, nat = 14, ntyp = 3
/
ATOMIC_SPECIES
La 138.91 La.upf
Pr 140.91 Pr.upf
Tl 204.38 Tl.upf
CELL_PARAMETERS angstrom
6.4740 0.0000 0.0000
0.0000 11.2139 0.0000
-0.0085 0.0000 6.6990
ATOMIC_POSITIONS angstrom
La 1.5804 0.4884 0.0135
La 1.5761 5.1186 3.3630
La 4.8894 6.0954 3.3361
La 4.8851 10.7255 6.6856
Pr 0.4383 1.7295 3.3619
Pr 0.4425 3.8775 0.0124
Pr 2.5410 8.4023 1.6794
Pr 2.5368 8.4186 5.0290
Pr 3.9287 2.7954 1.6701
Pr 3.9245 2.8116 5.0196
Pr 6.0230 7.3364 6.6866
Pr 6.0272 9.4845 3.3371
Tl 3.2328 0.0000 3.3495
Tl 3.2370 5.6070 0.0000
! DFT formation energy = -3.69 kJ/mol of atoms
! polymorph energy (0 for the lowest one) = 0.05 eV per formula unit
! E = -4.515 eV/atom
! total moment = 0.0 μB/cell
! density of states at the Fermi level = 20.4 states/eV/cell



! LaPr6Tl5, optimized geometry, DFT PBE-GGA; values from VASP
&SYSTEM
  ibrav = 0, nat = 12, ntyp = 3
/
ATOMIC_SPECIES
La 138.91 La.upf
Pr 140.91 Pr.upf
Tl 204.38 Tl.upf
CELL_PARAMETERS angstrom
-2.5990 4.5716 7.8725
2.5990 -4.5716 7.8725
2.5990 4.5716 -7.8725
ATOMIC_POSITIONS angstrom
La 0.0000 0.0000 0.0000
Pr 2.5990 -2.1647 5.1633
Pr 2.5990 2.4879 0.0000
Pr 0.0000 2.4069 2.7092
Pr 2.5990 2.1647 5.1633
Pr 0.0000 2.0837 7.8725
Pr 0.0000 6.7363 2.7092
Tl 2.5990 0.0000 2.3803
Tl 0.0000 0.0000 5.1020
Tl 0.0000 4.5716 0.0000
Tl 0.0000 0.0000 10.6430
Tl 0.0000 4.5716 5.4922
! DFT formation energy = -29.70 kJ/mol of atoms
! polymorph energy (0 for the lowest one) = 0.00 eV per formula unit
! E = -4.094 eV/atom
! total moment = 0.0 μB/cell
! density of states at the Fermi level = 13.9 states/eV/cell



! La2PrTl2, optimized geometry, DFT PBE-GGA; values from VASP
&SYSTEM
  ibrav = 0, nat = 10, ntyp = 3
/
ATOMIC_SPECIES
La 138.91 La.upf
Pr 140.91 Pr.upf
Tl 204.38 Tl.upf
CELL_PARAMETERS angstrom
3.9428 0.0000 0.0000
0.0000 5.6196 0.0000
-1.9721 0.0000 14.6584
ATOMIC_POSITIONS angstrom
La 0.0019 1.4049 1.4313
La 0.0031 1.4049 6.9570
La 1.9676 4.2147 7.7014
La 1.9688 4.2147 13.2271
Pr -0.0057 4.2147 4.2926
Pr 1.9764 1.4049 10.3657
Tl 0.0000 4.2147 10.4138
Tl -0.0020 1.4049 13.2135
Tl 1.9727 4.2147 1.4449
Tl 1.9707 1.4049 4.2446
! DFT formation energy = -31.04 kJ/mol of atoms
! E = -4.195 eV/atom
! total moment = 0.0 μB/cell
! density of states at the Fermi level = 9.2 states/eV/cell



! La3Pr2Tl2, optimized geometry, DFT PBE-GGA; values from VASP
&SYSTEM
  ibrav = 0, nat = 7, ntyp = 3
/
ATOMIC_SPECIES
La 138.91 La.upf
Pr 140.91 Pr.upf
Tl 204.38 Tl.upf
CELL_PARAMETERS angstrom
6.6570 -1.9790 0.0000
6.6570 1.9790 0.0000
-1.2774 0.0000 9.0467
ATOMIC_POSITIONS angstrom
La 0.0000 0.0000 0.0000
La 2.3765 0.0000 7.5516
La 9.6600 0.0000 1.4951
Pr 1.1616 0.0000 4.0506
Pr 10.8749 0.0000 4.9961
Tl 5.5885 0.0000 2.4714
Tl 6.4480 0.0000 6.5753
! DFT formation energy = -20.80 kJ/mol of atoms
! polymorph energy (0 for the lowest one) = 0.00 eV per formula unit
! E = -4.369 eV/atom
! total moment = 0.0 μB/cell
! density of states at the Fermi level = 9.0 states/eV/cell